{
  "formula": "La3Tb2Er6Pu",
  "functional": "PBE-GGA",
  "state": "optimized geometry",
  "delta_e_f_ev_per_atom": 0.04,
  "e_tot_ev_per_atom": -5.44,
  "mass_density_g_cm3": 8.6,
  "sg": "C2/m, No. 12",
  "cell": [[6.1841, -0.0018, -0.0062], [-3.0921, 5.3556, -0.0062], [-1.0205, -1.7669, 11.5308]],
  "species": ["La", "La", "La", "Tb", "Tb", "Er", "Er", "Er", "Er", "Er", "Er", "Pu"],
  "fractional_positions": [[0.1673, 0.8327, 0.5000], [0.8327, 0.1673, 0.5000], [0.5000, 0.5000, 0.5000], [0.3334, 0.6666, 0.0000], [0.6666, 0.3334, 0.0000], [0.9190, 0.5901, 0.7571], [0.7520, 0.7520, 0.2431], [0.0810, 0.4099, 0.2429], [0.5901, 0.9190, 0.7571], [0.2480, 0.2480, 0.7569], [0.4099, 0.0810, 0.2429], [0.0000, 0.0000, 0.0000]]
}